No. 1
First-principles (PBE-GGA) data for crystalline Ca2PaCuO6 at its relaxed geometry, as listed in Alexandria.

Values from the calculation:
SG   C2
Formation energy from raw total energies   -2495 kJ/mol of formula units

Structure (extended XYZ):
```
10
Lattice="5.401 -2.767 0.000 5.401 2.767 0.000 -2.303 0.000 4.800" Properties=species:S:1:pos:R:3 pbc="T T T"
Ca 2.217 0.000 0.940
Ca 6.283 0.000 3.860
Pa 4.250 -2.574 2.400
Cu 5.401 0.138 0.000
O 0.850 0.454 2.696
O 4.217 1.418 0.737
O 4.283 1.418 4.063
O 4.233 -1.157 0.644
O 7.650 0.454 2.104
O 4.266 -1.157 4.156
```

***

No. 2
First-principles (PBE-GGA) data for crystalline CaPaCu2O6 at its relaxed geometry, as listed in Alexandria.

Values from the calculation:
SG   R-3
Formation energy from raw total energies   -1896 kJ/mol of formula units

Structure (extended XYZ):
```
10
Lattice="2.752 1.589 5.438 -2.752 1.589 5.438 0.000 -3.177 5.438" Properties=species:S:1:pos:R:3 pbc="T T T"
Ca 0.000 0.000 0.000
Pa 0.000 0.000 8.157
Cu 0.000 0.000 3.985
Cu 0.000 0.000 12.328
O -1.752 -0.039 6.872
O -0.842 -1.537 9.441
O 0.910 -1.498 6.872
O -0.910 1.498 9.441
O 0.842 1.537 6.872
O 1.752 0.039 9.441
```

***

No. 3
First-principles (PBE-GGA) data for crystalline CaPaCuO4 at its relaxed geometry, as listed in Alexandria.

Values from the calculation:
SG   Imma
Formation energy from raw total energies   -1815 kJ/mol of formula units

Structure (extended XYZ):
```
14
Lattice="-3.681 3.862 3.661 3.681 -3.862 3.661 3.681 3.862 -3.661" Properties=species:S:1:pos:R:3 pbc="T T T"
Ca 0.000 1.931 1.549
Ca 3.681 1.931 2.111
Pa 1.840 1.931 -1.830
Pa 1.840 -1.931 1.830
Cu 3.681 0.000 0.000
Cu 0.000 0.000 3.661
O 3.681 -0.515 1.826
O 3.681 3.347 -1.826
O 1.864 1.931 0.229
O 5.497 1.931 0.229
O -1.816 1.931 3.431
O 1.816 1.931 3.431
O 0.000 0.515 5.487
O 0.000 4.376 1.835
```